i | A plane-wave DFT calculation with PBE was carried out for a relaxed structure of Li3CoAs.

The structure in POSCAR format:
```
Li3CoAs
1.0
4.468 0.000 0.000
0.000 4.468 0.000
0.000 0.000 4.468
Li Co As
3 1 1
Direct
0.000 0.000 0.500
0.000 0.500 0.000
0.500 0.000 0.000
0.000 0.000 0.000
0.500 0.500 0.500
```

Summary:
The total magnetization comes out at 2.05 μB/cell. As for the crystal system: cubic. The symmetry is Pm-3m (221).



ii | A plane-wave DFT calculation with PBE was carried out for a relaxed structure of Li3CoAs.

The structure in POSCAR format:
```
Li3CoAs
1.0
4.736 0.000 0.000
0.000 4.736 0.000
0.000 0.000 4.736
Li Co As
3 1 1
Direct
0.000 0.000 0.500
0.000 0.500 0.000
0.500 0.000 0.000
0.500 0.500 0.500
0.000 0.000 0.000
```

Summary:
The total magnetization comes out at 2.60 μB/cell. As for the crystal system: cubic. The symmetry is Pm-3m (221).



The structure with the greatest stability is ii.



i | A plane-wave DFT calculation with PBE was carried out for a relaxed structure of LiCo3As.

The structure in POSCAR format:
```
LiCo3As
1.0
4.378 0.000 0.000
0.000 4.378 0.000
0.000 0.000 4.378
Li Co As
1 3 1
Direct
0.000 0.000 0.000
0.000 0.500 0.500
0.500 0.000 0.500
0.500 0.500 0.000
0.500 0.500 0.500
```

Summary:
The total magnetization comes out at 4.00 μB/cell. As for the crystal system: cubic. The symmetry is Pm-3m (221).



ii | A plane-wave DFT calculation with PBE was carried out for a relaxed structure of LiCo3As.

The structure in POSCAR format:
```
LiCo3As
1.0
3.951 0.000 0.000
0.000 3.951 0.000
0.000 0.000 3.951
Li Co As
1 3 1
Direct
0.000 0.000 0.000
0.000 0.000 0.500
0.000 0.500 0.000
0.500 0.000 0.000
0.500 0.500 0.500
```

Summary:
The total magnetization comes out at 3.94 μB/cell. As for the crystal system: cubic. The symmetry is Pm-3m (221).



The structure with the greatest stability is i.



i | A plane-wave DFT calculation with PBE was carried out for a relaxed structure of LiCo2SnAs.

The structure in POSCAR format:
```
LiCo2SnAs
1.0
-1.859 2.576 3.988
1.859 -2.576 3.988
1.859 2.576 -3.988
Li Co Sn As
1 2 1 1
Direct
0.000 0.000 0.000
0.047 0.303 0.744
0.559 0.303 0.256
0.610 0.610 0.000
0.285 0.785 0.500
```

Summary:
The total magnetization comes out at 0.00 μB/cell. As for the crystal system: orthorhombic. The symmetry is Imm2 (44).



ii | A plane-wave DFT calculation with PBE was carried out for a relaxed structure of LiCo2SnAs.

The structure in POSCAR format:
```
LiCo2SnAs
1.0
3.194 0.000 0.000
0.000 1.657 6.763
0.000 -1.657 6.763
Li Co Sn As
1 2 1 1
Direct
0.000 0.000 0.000
0.000 0.793 0.793
0.500 0.618 0.618
0.500 0.394 0.394
0.000 0.175 0.175
```

Summary:
The total magnetization comes out at 0.00 μB/cell. As for the crystal system: orthorhombic. The symmetry is Amm2 (38).



The structure with the greatest stability is ii.



i | A plane-wave DFT calculation with PBE was carried out for a relaxed structure of LiCo2SnAs.

The structure in POSCAR format:
```
LiCo2SnAs
1.0
-1.476 1.984 6.556
1.476 -1.984 6.556
1.476 1.984 -6.556
Li Co Sn As
1 2 1 1
Direct
0.000 0.000 0.000
0.173 0.673 0.500
0.792 0.792 0.000
0.357 0.357 0.000
0.645 0.145 0.500
```

Summary:
The total magnetization comes out at 0.15 μB/cell. As for the crystal system: orthorhombic. The symmetry is Imm2 (44).



ii | A plane-wave DFT calculation with PBE was carried out for a relaxed structure of LiCo2SnAs.

The structure in POSCAR format:
```
LiCo2SnAs
1.0
3.960 0.000 0.000
-1.980 3.429 0.000
0.000 0.000 5.381
Li Co Sn As
1 2 1 1
Direct
0.000 0.000 0.000
0.000 0.000 0.472
0.333 0.667 0.227
0.333 0.667 0.729
0.667 0.333 0.290
```

Summary:
The total magnetization comes out at 0.00 μB/cell. As for the crystal system: trigonal. The symmetry is P3m1 (156).



iii | A plane-wave DFT calculation with PBE was carried out for a relaxed structure of LiCo2SnAs.

The structure in POSCAR format:
```
LiCo2SnAs
1.0
3.005 0.000 0.000
-1.492 4.027 0.000
-0.029 -2.117 6.599
Li Co Sn As
1 2 1 1
Direct
0.000 0.000 0.000
0.524 0.046 0.345
0.878 0.752 0.570
0.197 0.382 0.707
0.784 0.564 0.230
```

Summary:
The total magnetization comes out at 0.77 μB/cell. As for the crystal system: triclinic. The symmetry is P1 (1).



iv | A plane-wave DFT calculation with PBE was carried out for a relaxed structure of LiCo2SnAs.

The structure in POSCAR format:
```
LiCo2SnAs
1.0
4.400 0.000 0.000
1.296 4.208 0.000
1.167 1.135 4.155
Li Co Sn As
1 2 1 1
Direct
0.000 0.000 0.000
0.205 0.561 0.700
0.757 0.514 0.305
0.337 0.180 0.323
0.660 0.632 0.800
```

Summary:
The total magnetization comes out at 0.00 μB/cell. As for the crystal system: triclinic. The symmetry is P1 (1).



The structure with the greatest stability is ii.



i | A plane-wave DFT calculation with PBE was carried out for a relaxed structure of MnCoAs4.

The structure in POSCAR format:
```
MnCoAs4
1.0
0.000 3.849 3.849
3.849 0.000 3.849
3.849 3.849 0.000
Mn Co As
1 1 4
Direct
0.000 0.000 0.000
0.250 0.250 0.250
0.126 0.625 0.625
0.625 0.126 0.625
0.625 0.625 0.126
0.625 0.625 0.625
```

Summary:
The total magnetization comes out at 6.57 μB/cell. As for the crystal system: cubic. The symmetry is F-43m (216).



ii | A plane-wave DFT calculation with PBE was carried out for a relaxed structure of MnCoAs4.

The structure in POSCAR format:
```
MnCoAs4
1.0
5.867 0.000 0.000
0.000 5.964 0.000
-0.376 0.000 5.873
Mn Co As
2 2 8
Direct
0.000 0.000 0.000
0.000 0.500 0.500
0.500 0.000 0.500
0.500 0.500 0.000
0.132 0.122 0.398
0.132 0.378 0.898
0.394 0.629 0.364
0.394 0.871 0.864
0.606 0.129 0.136
0.606 0.371 0.636
0.868 0.622 0.102
0.868 0.878 0.602
```

Summary:
The total magnetization comes out at 5.85 μB/cell. As for the crystal system: monoclinic. The symmetry is P2_1/c (14).



The structure with the greatest stability is ii.



i | A plane-wave DFT calculation with PBE was carried out for a relaxed structure of CoMo3As.

The structure in POSCAR format:
```
CoMo3As
1.0
4.555 0.000 0.000
0.000 4.555 0.000
0.000 0.000 4.555
Co Mo As
1 3 1
Direct
0.000 0.000 0.000
0.000 0.500 0.500
0.500 0.000 0.500
0.500 0.500 0.000
0.500 0.500 0.500
```

Summary:
The total magnetization comes out at 0.00 μB/cell. As for the crystal system: cubic. The symmetry is Pm-3m (221).



ii | A plane-wave DFT calculation with PBE was carried out for a relaxed structure of CoMo3As.

The structure in POSCAR format:
```
CoMo3As
1.0
4.465 0.000 0.000
0.000 4.465 0.000
0.000 0.000 4.465
Co Mo As
1 3 1
Direct
0.000 0.000 0.000
0.000 0.000 0.500
0.000 0.500 0.000
0.500 0.000 0.000
0.500 0.500 0.500
```

Summary:
The total magnetization comes out at 0.00 μB/cell. As for the crystal system: cubic. The symmetry is Pm-3m (221).



The structure with the greatest stability is ii.